# 1
4
Lattice="-2.219 -5.332 -0.267 2.308 -0.849 -2.230 2.807 -1.339 3.416" Properties=species:S:1:pos:R:3 comment="Mg2SbP, optimized geometry, DFT PBE-GGA" spacegroup="Pm (6)" formation_energy_uncorrected_ev_per_atom=-0.1369 dos_at_fermi_per_ev_cell=2.2 energy_ry_per_atom=-0.2438 pbc="T T T"
Mg 4.518 -1.934 1.082
Mg 0.777 -3.471 0.275
P 1.943 -0.832 0.476
Sb 3.331 -4.564 0.866

***

# 2
4
Lattice="5.100 0.000 0.000 0.936 5.014 0.000 -3.018 -2.507 3.259" Properties=species:S:1:pos:R:3 comment="Mg2SbP, optimized geometry, DFT PBE-GGA" spacegroup="I4/mmm (139)" formation_energy_uncorrected_ev_per_atom=-0.0726 dos_at_fermi_per_ev_cell=1.8 energy_ry_per_atom=-0.2391 pbc="T T T"
Mg 0.000 0.000 0.000
Mg 3.018 2.507 0.000
P 0.468 2.507 1.629
Sb 2.550 0.000 1.629